# HoTmMn2 (PBE, relaxed)
data_HoTmMn2
_symmetry_space_group_name_H-M 'P 1'
_symmetry_Int_Tables_number 1
_cell_length_a 4.9274
_cell_length_b 4.9274
_cell_length_c 4.9274
_cell_angle_alpha 60.00
_cell_angle_beta 60.00
_cell_angle_gamma 60.00
loop_
_symmetry_equiv_pos_as_xyz
'x,y,z'
loop_
_atom_site_label
_atom_site_fract_x
_atom_site_fract_y
_atom_site_fract_z
Mn1 0.2500 0.2500 0.2500
Mn2 0.7500 0.7500 0.7500
Tm1 0.5000 0.5000 0.5000
Ho1 0.0000 0.0000 0.0000
# - V (Å³/f.u.) = 85
# - E above lowest polymorph (eV per atom) = 0.000
# - formation energy (meV per atom) = 174
# - final energy (eV/atom) = -6.673

=====

# HoTmMn17 (PBE, relaxed)
data_HoTmMn17
_symmetry_space_group_name_H-M 'P 1'
_symmetry_Int_Tables_number 1
_cell_length_a 6.3027
_cell_length_b 6.3027
_cell_length_c 6.3027
_cell_angle_alpha 86.24
_cell_angle_beta 86.24
_cell_angle_gamma 86.24
loop_
_symmetry_equiv_pos_as_xyz
'x,y,z'
loop_
_atom_site_label
_atom_site_fract_x
_atom_site_fract_y
_atom_site_fract_z
Mn1 0.2760 0.0002 0.7242
Mn2 0.8766 0.3561 0.3561
Mn3 0.2760 0.7242 0.0002
Mn4 0.0002 0.7242 0.2760
Mn5 0.5000 0.0003 0.0003
Mn6 0.7242 0.0002 0.2760
Mn7 0.0999 0.0999 0.0999
Mn8 0.3561 0.3561 0.8766
Mn9 0.6433 0.6433 0.1238
Mn10 0.6433 0.1238 0.6433
Mn11 0.0003 0.0003 0.5000
Mn12 0.9003 0.9003 0.9003
Mn13 0.1238 0.6433 0.6433
Mn14 0.3561 0.8766 0.3561
Mn15 0.0003 0.5000 0.0003
Mn16 0.0002 0.2760 0.7242
Mn17 0.7242 0.2760 0.0002
Ho1 0.6446 0.6446 0.6446
Tm1 0.3545 0.3545 0.3545
# - V (Å³/f.u.) = 249
# - formation energy (meV per atom) = -10
# - final energy (eV/atom) = -8.690

=====

# HoTm3Mn (PBE, relaxed)
data_HoTm3Mn
_symmetry_space_group_name_H-M 'P 1'
_symmetry_Int_Tables_number 1
_cell_length_a 5.2157
_cell_length_b 5.2157
_cell_length_c 5.2157
_cell_angle_alpha 90.00
_cell_angle_beta 90.00
_cell_angle_gamma 90.00
loop_
_symmetry_equiv_pos_as_xyz
'x,y,z'
loop_
_atom_site_label
_atom_site_fract_x
_atom_site_fract_y
_atom_site_fract_z
Ho1 0.5000 0.5000 0.5000
Mn1 0.0000 0.0000 0.0000
Tm1 0.5000 0.0000 0.0000
Tm2 0.0000 0.5000 0.0000
Tm3 0.0000 0.0000 0.5000
# - V (Å³/f.u.) = 142
# - formation energy (meV per atom) = 224
# - final energy (eV/atom) = -5.209

=====

# HoTmMn (PBE, relaxed)
data_HoTmMn
_symmetry_space_group_name_H-M 'P 1'
_symmetry_Int_Tables_number 1
_cell_length_a 3.4425
_cell_length_b 3.4425
_cell_length_c 6.7188
_cell_angle_alpha 104.84
_cell_angle_beta 104.84
_cell_angle_gamma 90.00
loop_
_symmetry_equiv_pos_as_xyz
'x,y,z'
loop_
_atom_site_label
_atom_site_fract_x
_atom_site_fract_y
_atom_site_fract_z
Tm1 0.0303 0.0303 0.0606
Ho1 0.3040 0.3040 0.6079
Mn1 0.6657 0.6657 0.3315
# - V (Å³/f.u.) = 74
# - E above lowest polymorph (eV per atom) = 0.000
# - formation energy (meV per atom) = 125
# - final energy (eV/atom) = -5.948

=====

# Ho3TmMn8 (PBE, relaxed)
data_Ho3TmMn8
_symmetry_space_group_name_H-M 'P 1'
_symmetry_Int_Tables_number 1
_cell_length_a 5.1218
_cell_length_b 5.1218
_cell_length_c 8.5754
_cell_angle_alpha 86.68
_cell_angle_beta 86.68
_cell_angle_gamma 62.82
loop_
_symmetry_equiv_pos_as_xyz
'x,y,z'
loop_
_atom_site_label
_atom_site_fract_x
_atom_site_fract_y
_atom_site_fract_z
Mn1 0.1598 0.6708 0.2461
Mn2 0.0001 0.0001 0.5003
Mn3 0.1678 0.1678 0.2549
Mn4 0.3286 0.8405 0.7538
Mn5 0.8405 0.3286 0.7538
Mn6 0.8323 0.8323 0.7452
Mn7 0.6708 0.1598 0.2461
Mn8 0.0000 0.0000 0.0000
Tm1 0.3318 0.3318 0.5615
Ho1 0.3341 0.3341 0.9353
Ho2 0.6683 0.6683 0.4389
Ho3 0.6658 0.6658 0.0641
# - V (Å³/f.u.) = 200
# - formation energy (meV per atom) = 27
# - final energy (eV/atom) = -7.603

=====

# HoUMn17 (PBE, relaxed)
data_HoUMn17
_symmetry_space_group_name_H-M 'P 1'
_symmetry_Int_Tables_number 1
_cell_length_a 6.2716
_cell_length_b 6.2716
_cell_length_c 6.2716
_cell_angle_alpha 86.05
_cell_angle_beta 86.05
_cell_angle_gamma 86.05
loop_
_symmetry_equiv_pos_as_xyz
'x,y,z'
loop_
_atom_site_label
_atom_site_fract_x
_atom_site_fract_y
_atom_site_fract_z
Mn1 0.6361 0.1353 0.6361
Mn2 0.2723 0.7240 0.0003
Mn3 0.6361 0.6361 0.1353
Mn4 0.2723 0.0003 0.7240
Mn5 0.1030 0.1030 0.1030
Mn6 0.5008 0.9946 0.9946
Mn7 0.9946 0.5008 0.9946
Mn8 0.0003 0.7240 0.2723
Mn9 0.7240 0.0003 0.2723
Mn10 0.3582 0.3582 0.8879
Mn11 0.9005 0.9005 0.9005
Mn12 0.0003 0.2723 0.7240
Mn13 0.1353 0.6361 0.6361
Mn14 0.7240 0.2723 0.0003
Mn15 0.8879 0.3582 0.3582
Mn16 0.9946 0.9946 0.5008
Mn17 0.3582 0.8879 0.3582
Ho1 0.6470 0.6470 0.6470
U1 0.3543 0.3543 0.3543
# - V (Å³/f.u.) = 245
# - formation energy (meV per atom) = 30
# - final energy (eV/atom) = -9.009

=====

# HoU2Mn2 (PBE, relaxed)
data_HoU2Mn2
_symmetry_space_group_name_H-M 'P 1'
_symmetry_Int_Tables_number 1
_cell_length_a 5.8362
_cell_length_b 5.8362
_cell_length_c 9.2983
_cell_angle_alpha 89.99
_cell_angle_beta 89.99
_cell_angle_gamma 141.00
loop_
_symmetry_equiv_pos_as_xyz
'x,y,z'
loop_
_atom_site_label
_atom_site_fract_x
_atom_site_fract_y
_atom_site_fract_z
U1 0.3257 0.6743 0.9826
U2 0.6743 0.3257 0.0174
U3 0.6743 0.3257 0.4826
U4 0.3257 0.6743 0.5174
Ho1 0.9161 0.0839 0.2500
Ho2 0.0839 0.9161 0.7500
Mn1 0.4025 0.5975 0.7500
Mn2 0.5975 0.4025 0.2500
Mn3 0.2087 0.7913 0.2500
Mn4 0.7913 0.2087 0.7500
# - V (Å³/f.u.) = 100
# - formation energy (meV per atom) = 212
# - final energy (eV/atom) = -8.887

=====

# HoUMn2 (PBE, relaxed)
data_HoUMn2
_symmetry_space_group_name_H-M 'P 1'
_symmetry_Int_Tables_number 1
_cell_length_a 4.9830
_cell_length_b 5.9929
_cell_length_c 9.5266
_cell_angle_alpha 90.00
_cell_angle_beta 90.00
_cell_angle_gamma 90.00
loop_
_symmetry_equiv_pos_as_xyz
'x,y,z'
loop_
_atom_site_label
_atom_site_fract_x
_atom_site_fract_y
_atom_site_fract_z
U1 0.2500 0.9968 0.3666
U2 0.7500 0.5032 0.8666
U3 0.7500 0.0032 0.6334
U4 0.2500 0.4968 0.1335
Mn1 0.7500 0.2345 0.4644
Mn2 0.7500 0.0974 0.8612
Mn3 0.2500 0.9026 0.1388
Mn4 0.7500 0.7345 0.0356
Mn5 0.2500 0.2655 0.9644
Mn6 0.2500 0.4026 0.3612
Mn7 0.2500 0.7655 0.5356
Mn8 0.7500 0.5974 0.6388
Ho1 0.2500 0.3205 0.6570
Ho2 0.7500 0.1795 0.1570
Ho3 0.7500 0.6795 0.3430
Ho4 0.2500 0.8205 0.8430
# - V (Å³/f.u.) = 71
# - formation energy (meV per atom) = -13
# - final energy (eV/atom) = -8.564

=====

# HoUMn2 (PBE, relaxed)
data_HoUMn2
_symmetry_space_group_name_H-M 'P 1'
_symmetry_Int_Tables_number 1
_cell_length_a 3.2646
_cell_length_b 3.2646
_cell_length_c 6.8510
_cell_angle_alpha 90.00
_cell_angle_beta 90.00
_cell_angle_gamma 90.00
loop_
_symmetry_equiv_pos_as_xyz
'x,y,z'
loop_
_atom_site_label
_atom_site_fract_x
_atom_site_fract_y
_atom_site_fract_z
U1 0.5000 0.5000 0.0000
Mn1 0.0000 0.0000 0.8059
Mn2 0.0000 0.0000 0.1941
Ho1 0.5000 0.5000 0.5000
# - V (Å³/f.u.) = 73
# - formation energy (meV per atom) = 92
# - final energy (eV/atom) = -8.460

=====

# HoUMn4 (PBE, relaxed)
data_HoUMn4
_symmetry_space_group_name_H-M 'P 1'
_symmetry_Int_Tables_number 1
_cell_length_a 5.0940
_cell_length_b 5.0940
_cell_length_c 5.0940
_cell_angle_alpha 60.00
_cell_angle_beta 60.00
_cell_angle_gamma 60.00
loop_
_symmetry_equiv_pos_as_xyz
'x,y,z'
loop_
_atom_site_label
_atom_site_fract_x
_atom_site_fract_y
_atom_site_fract_z
Mn1 0.6239 0.1284 0.6239
Mn2 0.6239 0.6239 0.1284
Mn3 0.6239 0.6239 0.6239
Mn4 0.1284 0.6239 0.6239
Ho1 0.0000 0.0000 0.0000
U1 0.2500 0.2500 0.2500
# - V (Å³/f.u.) = 93
# - formation energy (meV per atom) = 126
# - final energy (eV/atom) = -8.631

=====

# Ho2UMn2 (PBE, relaxed)
data_Ho2UMn2
_symmetry_space_group_name_H-M 'P 1'
_symmetry_Int_Tables_number 1
_cell_length_a 5.5916
_cell_length_b 5.5916
_cell_length_c 7.5116
_cell_angle_alpha 81.28
_cell_angle_beta 81.28
_cell_angle_gamma 62.17
loop_
_symmetry_equiv_pos_as_xyz
'x,y,z'
loop_
_atom_site_label
_atom_site_fract_x
_atom_site_fract_y
_atom_site_fract_z
U1 0.1022 0.8978 0.2500
U2 0.8978 0.1022 0.7500
Mn1 0.9966 0.7669 0.0096
Mn2 0.0034 0.2331 0.9904
Mn3 0.7669 0.9966 0.5096
Mn4 0.2331 0.0034 0.4904
Ho1 0.2370 0.4594 0.6504
Ho2 0.5406 0.7630 0.8496
Ho3 0.4594 0.2370 0.1504
Ho4 0.7630 0.5406 0.3496
# - V (Å³/f.u.) = 102
# - formation energy (meV per atom) = -55
# - final energy (eV/atom) = -7.812

=====

# HoMn4V (PBE, relaxed)
data_HoMn4V
_symmetry_space_group_name_H-M 'P 1'
_symmetry_Int_Tables_number 1
_cell_length_a 4.9174
_cell_length_b 4.9174
_cell_length_c 4.9174
_cell_angle_alpha 60.00
_cell_angle_beta 60.00
_cell_angle_gamma 60.00
loop_
_symmetry_equiv_pos_as_xyz
'x,y,z'
loop_
_atom_site_label
_atom_site_fract_x
_atom_site_fract_y
_atom_site_fract_z
Mn1 0.6244 0.1269 0.6244
Mn2 0.1269 0.6244 0.6244
Mn3 0.6244 0.6244 0.1269
Mn4 0.6244 0.6244 0.6244
V1 0.2500 0.2500 0.2500
Ho1 0.0000 0.0000 0.0000
# - V (Å³/f.u.) = 84
# - formation energy (meV per atom) = 96
# - final energy (eV/atom) = -8.300

=====

# HoMnV (PBE, relaxed)
data_HoMnV
_symmetry_space_group_name_H-M 'P 1'
_symmetry_Int_Tables_number 1
_cell_length_a 4.8270
_cell_length_b 4.8270
_cell_length_c 5.6827
_cell_angle_alpha 106.67
_cell_angle_beta 106.67
_cell_angle_gamma 108.94
loop_
_symmetry_equiv_pos_as_xyz
'x,y,z'
loop_
_atom_site_label
_atom_site_fract_x
_atom_site_fract_y
_atom_site_fract_z
V1 0.1847 0.1847 0.3693
V2 0.8153 0.8153 0.6307
Ho1 0.6861 0.3139 0.0000
Ho2 0.3139 0.6861 0.0000
Mn1 0.7500 0.2500 0.5000
Mn2 0.2500 0.7500 0.5000
# - V (Å³/f.u.) = 54
# - E above lowest polymorph (eV per atom) = 0.000
# - formation energy (meV per atom) = 278
# - final energy (eV/atom) = -7.344

=====

# HoMnV2 (PBE, relaxed)
data_HoMnV2
_symmetry_space_group_name_H-M 'P 1'
_symmetry_Int_Tables_number 1
_cell_length_a 4.0120
_cell_length_b 4.0120
_cell_length_c 5.6877
_cell_angle_alpha 69.35
_cell_angle_beta 69.35
_cell_angle_gamma 60.00
loop_
_symmetry_equiv_pos_as_xyz
'x,y,z'
loop_
_atom_site_label
_atom_site_fract_x
_atom_site_fract_y
_atom_site_fract_z
V1 0.7979 0.7979 0.6064
V2 0.2021 0.2021 0.3936
Ho1 0.0000 0.0000 0.0000
Mn1 0.5000 0.5000 0.5000
# - V (Å³/f.u.) = 72
# - formation energy (meV per atom) = 285
# - final energy (eV/atom) = -7.711

=====

# Ho2Mn16V (PBE, relaxed)
data_Ho2Mn16V
_symmetry_space_group_name_H-M 'P 1'
_symmetry_Int_Tables_number 1
_cell_length_a 6.3246
_cell_length_b 6.3246
_cell_length_c 6.3246
_cell_angle_alpha 86.24
_cell_angle_beta 86.24
_cell_angle_gamma 86.24
loop_
_symmetry_equiv_pos_as_xyz
'x,y,z'
loop_
_atom_site_label
_atom_site_fract_x
_atom_site_fract_y
_atom_site_fract_z
Mn1 0.3560 0.3560 0.8749
Mn2 0.6415 0.1250 0.6415
Mn3 0.7232 0.0011 0.2769
Mn4 0.9992 0.9992 0.4997
Mn5 0.7232 0.2769 0.0011
Mn6 0.0011 0.2769 0.7232
Mn7 0.1250 0.6415 0.6415
Mn8 0.3560 0.8749 0.3560
Mn9 0.2769 0.7232 0.0011
Mn10 0.8749 0.3560 0.3560
Mn11 0.1018 0.1018 0.1018
Mn12 0.4997 0.9992 0.9992
Mn13 0.6415 0.6415 0.1250
Mn14 0.0011 0.7232 0.2769
Mn15 0.2769 0.0011 0.7232
Mn16 0.9992 0.4997 0.9992
Ho1 0.3532 0.3532 0.3532
Ho2 0.6459 0.6459 0.6459
V1 0.9038 0.9038 0.9038
# - V (Å³/f.u.) = 251
# - formation energy (meV per atom) = -13
# - final energy (eV/atom) = -8.697

=====

# HoMnV (PBE, relaxed)
data_HoMnV
_symmetry_space_group_name_H-M 'P 1'
_symmetry_Int_Tables_number 1
_cell_length_a 3.7388
_cell_length_b 3.7388
_cell_length_c 4.6730
_cell_angle_alpha 90.00
_cell_angle_beta 90.00
_cell_angle_gamma 120.00
loop_
_symmetry_equiv_pos_as_xyz
'x,y,z'
loop_
_atom_site_label
_atom_site_fract_x
_atom_site_fract_y
_atom_site_fract_z
Ho1 0.0000 0.0000 0.0000
V1 0.6667 0.3333 0.5000
Mn1 0.3333 0.6667 0.5000
# - V (Å³/f.u.) = 57
# - E above lowest polymorph (eV per atom) = 0.006
# - formation energy (meV per atom) = 285
# - final energy (eV/atom) = -7.337

=====

# HoMn4W (PBE, relaxed)
data_HoMn4W
_symmetry_space_group_name_H-M 'P 1'
_symmetry_Int_Tables_number 1
_cell_length_a 4.9228
_cell_length_b 4.9228
_cell_length_c 4.9228
_cell_angle_alpha 60.00
_cell_angle_beta 60.00
_cell_angle_gamma 60.00
loop_
_symmetry_equiv_pos_as_xyz
'x,y,z'
loop_
_atom_site_label
_atom_site_fract_x
_atom_site_fract_y
_atom_site_fract_z
Mn1 0.6246 0.6246 0.1262
Mn2 0.6246 0.6246 0.6246
Mn3 0.6246 0.1262 0.6246
Mn4 0.1262 0.6246 0.6246
Ho1 0.0000 0.0000 0.0000
W1 0.2500 0.2500 0.2500
# - V (Å³/f.u.) = 84
# - formation energy (meV per atom) = 135
# - final energy (eV/atom) = -8.900

=====

# Ho2Mn16W (PBE, relaxed)
data_Ho2Mn16W
_symmetry_space_group_name_H-M 'P 1'
_symmetry_Int_Tables_number 1
_cell_length_a 6.3567
_cell_length_b 6.3567
_cell_length_c 6.3567
_cell_angle_alpha 86.05
_cell_angle_beta 86.05
_cell_angle_gamma 86.05
loop_
_symmetry_equiv_pos_as_xyz
'x,y,z'
loop_
_atom_site_label
_atom_site_fract_x
_atom_site_fract_y
_atom_site_fract_z
Mn1 0.1251 0.6390 0.6390
Mn2 0.2794 0.7229 0.0026
Mn3 0.2794 0.0026 0.7229
Mn4 0.8750 0.3558 0.3558
Mn5 0.0026 0.2794 0.7229
Mn6 0.9998 0.4989 0.9998
Mn7 0.0026 0.7229 0.2794
Mn8 0.9998 0.9998 0.4989
Mn9 0.3558 0.3558 0.8750
Mn10 0.7229 0.2794 0.0026
Mn11 0.3558 0.8750 0.3558
Mn12 0.1055 0.1055 0.1055
Mn13 0.6390 0.6390 0.1251
Mn14 0.7229 0.0026 0.2794
Mn15 0.6390 0.1251 0.6390
Mn16 0.4989 0.9998 0.9998
W1 0.9008 0.9008 0.9008
Ho1 0.6424 0.6424 0.6424
Ho2 0.3534 0.3534 0.3534
# - V (Å³/f.u.) = 255
# - formation energy (meV per atom) = 11
# - final energy (eV/atom) = -8.875

=====

# YHoMn17 (PBE, relaxed)
data_YHoMn17
_symmetry_space_group_name_H-M 'P 1'
_symmetry_Int_Tables_number 1
_cell_length_a 6.3180
_cell_length_b 6.3180
_cell_length_c 6.3180
_cell_angle_alpha 86.23
_cell_angle_beta 86.23
_cell_angle_gamma 86.23
loop_
_symmetry_equiv_pos_as_xyz
'x,y,z'
loop_
_atom_site_label
_atom_site_fract_x
_atom_site_fract_y
_atom_site_fract_z
Mn1 0.3551 0.3551 0.8769
Mn2 0.8769 0.3551 0.3551
Mn3 0.0002 0.7246 0.2754
Mn4 0.9006 0.9006 0.9006
Mn5 0.0001 0.5000 0.0001
Mn6 0.6443 0.1239 0.6443
Mn7 0.2754 0.0002 0.7246
Mn8 0.0001 0.0001 0.5000
Mn9 0.5000 0.0001 0.0001
Mn10 0.2754 0.7246 0.0002
Mn11 0.1239 0.6443 0.6443
Mn12 0.0002 0.2754 0.7246
Mn13 0.6443 0.6443 0.1239
Mn14 0.0997 0.0997 0.0997
Mn15 0.7246 0.2754 0.0002
Mn16 0.3551 0.8769 0.3551
Mn17 0.7246 0.0002 0.2754
Ho1 0.3547 0.3547 0.3547
Y1 0.6447 0.6447 0.6447
# - V (Å³/f.u.) = 251
# - formation energy (meV per atom) = -1
# - final energy (eV/atom) = -8.787

=====

# YHo2Mn (PBE, relaxed)
data_YHo2Mn
_symmetry_space_group_name_H-M 'P 1'
_symmetry_Int_Tables_number 1
_cell_length_a 3.4660
_cell_length_b 3.4660
_cell_length_c 10.6666
_cell_angle_alpha 80.65
_cell_angle_beta 80.65
_cell_angle_gamma 60.00
loop_
_symmetry_equiv_pos_as_xyz
'x,y,z'
loop_
_atom_site_label
_atom_site_fract_x
_atom_site_fract_y
_atom_site_fract_z
Ho1 0.2614 0.2614 0.2157
Ho2 0.7386 0.7386 0.7843
Mn1 0.0000 0.0000 0.0000
Y1 0.5000 0.5000 0.5000
# - V (Å³/f.u.) = 109
# - E above lowest polymorph (eV per atom) = 0.128
# - formation energy (meV per atom) = 244
# - final energy (eV/atom) = -5.953